Record 1
## AcTb5Ho3 (PBE)

Data for a relaxed AcTb5Ho3 crystal.

```
AcTb5Ho3
1.0
7.658 -5.720 0.000
7.658 5.720 0.000
-6.378 0.000 7.733
Ac Tb Ho
2 10 6
direct
0.250 0.250 0.088
0.750 0.750 0.912
0.111 0.615 0.748
0.229 0.229 0.725
0.242 0.758 0.500
0.276 0.276 0.455
0.385 0.889 0.252
0.615 0.111 0.748
0.724 0.724 0.545
0.758 0.242 0.500
0.771 0.771 0.275
0.889 0.385 0.252
0.000 0.000 0.000
0.008 0.008 0.323
0.489 0.489 0.145
0.500 0.500 0.500
0.511 0.511 0.855
0.992 0.992 0.677
```

* ΔE to the lowest computed polymorph: 412 meV per atom
* electronic total energy: -72.94 eV/cell
* formation energy: 0.50 eV per atom

=====

Record 2
## ZrCrRe2 (PBE)

Data for a relaxed ZrCrRe2 crystal.

```
ZrCrRe2
1.0
3.120 0.000 0.000
0.000 3.120 0.000
0.000 0.000 6.484
Zr Cr Re
1 1 2
direct
0.000 0.000 0.000
0.500 0.500 0.260
0.000 0.000 0.480
0.500 0.500 0.718
```

* ΔE to the lowest computed polymorph: 41 meV per atom
* electronic total energy: -42.99 eV/cell
* formation energy: 0.02 eV per atom

=====

Record 3
## AcHo3Ru (PBE)

Data for a relaxed AcHo3Ru crystal.

```
AcHo3Ru
1.0
5.447 0.000 0.000
0.000 5.447 0.000
0.000 0.000 5.447
Ac Ho Ru
1 3 1
direct
0.000 0.000 0.000
0.000 0.500 0.500
0.500 0.000 0.500
0.500 0.500 0.000
0.500 0.500 0.500
```

* electronic total energy: -27.78 eV/cell
* formation energy: -0.13 eV per atom

=====

Record 4
## Ca2SbPd2 (PBE)

Data for a relaxed Ca2SbPd2 crystal.

```
Ca2SbPd2
1.0
-2.821 2.821 3.948
2.821 -2.821 3.948
2.821 2.821 -3.948
Ca Sb Pd
2 1 2
direct
0.250 0.750 0.500
0.750 0.250 0.500
0.000 0.000 0.000
0.337 0.337 0.000
0.663 0.663 0.000
```

* uncorrected formation energy: -621 meV per atom
* ΔE to the lowest computed polymorph: 230 meV per atom
* electronic total energy: -21.62 eV/cell

=====

Record 5
## Cu5AsPd6 (PBE)

Data for a relaxed Cu5AsPd6 crystal.

```
Cu5AsPd6
1.0
-2.065 3.320 6.132
2.065 -3.320 6.132
2.065 3.320 -6.132
Cu As Pd
5 1 6
direct
0.000 0.000 0.000
0.162 0.662 0.500
0.316 0.316 0.000
0.684 0.684 0.000
0.838 0.338 0.500
0.500 0.000 0.500
0.099 0.837 0.262
0.267 0.500 0.767
0.424 0.163 0.262
0.576 0.837 0.738
0.733 0.500 0.233
0.901 0.163 0.738
```

* electronic total energy: -58.75 eV/cell
* formation energy: -0.20 eV per atom

=====

Record 6
## LaZnSi2Pd5 (PBE)

Data for a relaxed LaZnSi2Pd5 crystal.

```
LaZnSi2Pd5
1.0
4.138 0.000 0.000
0.000 4.138 0.000
0.000 0.000 10.151
La Zn Si Pd
1 1 2 5
direct
0.000 0.000 0.000
0.000 0.000 0.500
0.500 0.500 0.231
0.500 0.500 0.769
0.000 0.500 0.345
0.000 0.500 0.655
0.500 0.000 0.345
0.500 0.000 0.655
0.500 0.500 0.000
```

* uncorrected formation energy: -558 meV per atom
* electronic total energy: -48.03 eV/cell

=====

Record 7
## KAcMoN3 (PBE)

Data for a relaxed KAcMoN3 crystal.

```
KAcMoN3
1.0
7.310 -1.995 0.000
7.310 1.995 0.000
-2.189 0.000 7.783
K Ac Mo N
2 2 2 6
direct
0.131 0.131 0.068
0.869 0.869 0.932
0.164 0.164 0.611
0.836 0.836 0.389
0.489 0.489 0.676
0.511 0.511 0.324
0.013 0.013 0.346
0.350 0.350 0.646
0.379 0.379 0.201
0.621 0.621 0.799
0.650 0.650 0.354
0.987 0.987 0.654
```

* uncorrected formation energy: -457 meV per atom
* electronic total energy: -87.51 eV/cell

=====

Record 8
## LiCr2SnH (PBE)

Data for a relaxed LiCr2SnH crystal.

```
LiCr2SnH
1.0
4.613 0.000 0.000
0.000 4.613 0.000
0.000 0.000 4.526
Li Cr Sn H
1 2 1 1
direct
0.000 0.000 0.000
0.000 0.500 0.000
0.500 0.000 0.000
0.000 0.000 0.500
0.500 0.500 0.500
```

* electronic total energy: -21.73 eV/cell

=====

Record 9
## Ac6La2Sm (PBE)

Data for a relaxed Ac6La2Sm crystal.

```
Ac6La2Sm
1.0
6.089 -3.210 0.000
6.089 3.210 0.000
-6.087 0.000 9.680
Ac La Sm
6 2 1
direct
0.001 0.001 0.322
0.321 0.321 0.323
0.345 0.345 0.000
0.655 0.655 0.000
0.679 0.679 0.677
0.999 0.999 0.678
0.325 0.325 0.651
0.675 0.675 0.349
0.000 0.000 0.000
```

* ΔE to the lowest computed polymorph: 36 meV per atom
* electronic total energy: -38.24 eV/cell
* formation energy: 0.11 eV per atom

=====

Record 10
## SiHg2Pb (PBE)

Data for a relaxed SiHg2Pb crystal.

```
SiHg2Pb
1.0
1.823 -2.696 0.000
1.823 2.696 0.000
0.000 0.000 10.309
Si Hg Pb
1 2 1
direct
0.000 0.000 0.000
0.000 0.000 0.523
0.500 0.500 0.781
0.500 0.500 0.233
```

* uncorrected formation energy: 341 meV per atom
* ΔE to the lowest computed polymorph: 77 meV per atom
* electronic total energy: -8.37 eV/cell

=====

Record 11
## Ca2SbCl (PBE)

Data for a relaxed Ca2SbCl crystal.

```
Ca2SbCl
1.0
-2.170 2.170 6.188
2.170 -2.170 6.188
2.170 2.170 -6.188
Ca Sb Cl
2 1 1
direct
0.000 0.000 0.000
0.750 0.250 0.500
0.500 0.500 0.000
0.250 0.750 0.500
```

* uncorrected formation energy: -1122 meV per atom
* electronic total energy: -14.46 eV/cell

=====

Record 12
## LaMnTl (PBE)

Data for a relaxed LaMnTl crystal.

```
LaMnTl
1.0
-1.786 1.786 6.024
1.786 -1.786 6.024
1.786 1.786 -6.024
La Mn Tl
1 1 1
direct
0.000 0.000 0.000
0.671 0.671 0.000
0.297 0.297 0.000
```

* electronic total energy: -16.12 eV/cell
* formation energy: 0.11 eV per atom

=====

Record 13
## Ta2InTc (PBE)

Data for a relaxed Ta2InTc crystal.

```
Ta2InTc
1.0
5.201 -1.639 0.000
5.201 1.639 0.000
-2.044 0.000 4.197
Ta In Tc
2 1 1
direct
0.000 0.000 0.000
0.248 0.248 0.750
0.771 0.771 0.274
0.524 0.524 0.521
```

* electronic total energy: -36.68 eV/cell
* formation energy: 0.03 eV per atom

=====

Record 14
## Be2AlIn2 (PBE)

Data for a relaxed Be2AlIn2 crystal.

```
Be2AlIn2
1.0
6.541 0.000 0.000
0.000 6.541 0.000
0.000 0.000 4.009
Be Al In
4 2 4
direct
0.120 0.380 0.000
0.380 0.880 0.000
0.620 0.120 0.000
0.880 0.620 0.000
0.000 0.000 0.000
0.500 0.500 0.000
0.177 0.677 0.500
0.323 0.177 0.500
0.677 0.823 0.500
0.823 0.323 0.500
```

* electronic total energy: -29.46 eV/cell
* formation energy: 0.39 eV per atom

=====

Record 15
## Cs2KAs (PBE)

Data for a relaxed Cs2KAs crystal.

```
Cs2KAs
1.0
12.264 0.000 0.000
0.000 8.221 0.000
-4.286 0.000 9.399
Cs K As
8 4 4
direct
0.193 0.250 0.099
0.193 0.250 0.599
0.237 0.693 0.371
0.237 0.807 0.871
0.763 0.193 0.129
0.763 0.307 0.629
0.807 0.750 0.401
0.807 0.750 0.901
0.500 0.000 0.299
0.500 0.000 0.701
0.500 0.500 0.201
0.500 0.500 0.799
0.438 0.139 0.970
0.438 0.361 0.470
0.562 0.639 0.530
0.562 0.861 0.030
```

* electronic total energy: -33.52 eV/cell
* formation energy: -0.23 eV per atom

=====

Record 16
## VTcB2 (PBE)

Data for a relaxed VTcB2 crystal.

```
VTcB2
1.0
-2.339 2.339 4.833
2.339 -2.339 4.833
2.339 2.339 -4.833
V Tc B
2 2 4
direct
0.000 0.000 0.000
0.750 0.250 0.500
0.250 0.750 0.500
0.500 0.500 0.000
0.135 0.625 0.010
0.375 0.385 0.510
0.615 0.125 0.990
0.875 0.865 0.490
```

* ΔE to the lowest computed polymorph: 1357 meV per atom
* electronic total energy: -59.82 eV/cell
* formation energy: 0.73 eV per atom

=====

Record 17
## Pr3YAu3 (PBE)

Data for a relaxed Pr3YAu3 crystal.

```
Pr3YAu3
1.0
4.891 -5.523 0.000
4.891 5.523 0.000
-0.227 0.000 7.432
Pr Y Au
6 2 6
direct
0.177 0.823 0.000
0.258 0.742 0.500
0.348 0.348 0.124
0.652 0.652 0.876
0.742 0.258 0.500
0.823 0.177 0.000
0.255 0.255 0.624
0.745 0.745 0.376
0.020 0.497 0.776
0.064 0.064 0.315
0.497 0.020 0.776
0.503 0.980 0.224
0.936 0.936 0.685
0.980 0.503 0.224
```

* electronic total energy: -69.54 eV/cell
* formation energy: -0.59 eV per atom

=====

Record 18
## Li2CeCu2Se4 (PBE)

Data for a relaxed Li2CeCu2Se4 crystal.

```
Li2CeCu2Se4
1.0
7.352 -1.970 0.000
7.352 1.970 0.000
-3.944 0.000 6.570
Li Ce Cu Se
2 1 2 4
direct
0.128 0.128 0.161
0.872 0.872 0.839
0.000 0.000 0.500
0.319 0.319 0.119
0.681 0.681 0.881
0.227 0.227 0.738
0.491 0.491 0.765
0.509 0.509 0.235
0.773 0.773 0.262
```

* uncorrected formation energy: -1004 meV per atom
* electronic total energy: -40.93 eV/cell

=====

Record 19
## LiTh2Si (PBE)

Data for a relaxed LiTh2Si crystal.

```
LiTh2Si
1.0
4.814 0.000 0.000
0.000 4.814 0.000
0.000 0.000 4.106
Li Th Si
1 2 1
direct
0.000 0.000 0.000
0.000 0.500 0.500
0.500 0.000 0.500
0.500 0.500 0.000
```

* uncorrected formation energy: -217 meV per atom
* ΔE to the lowest computed polymorph: 0 meV per atom
* electronic total energy: -23.04 eV/cell

=====

Record 20
## MgMo2Rh3 (PBE)

Data for a relaxed MgMo2Rh3 crystal.

```
MgMo2Rh3
1.0
2.822 0.000 0.000
0.000 2.822 0.000
0.000 0.000 11.295
Mg Mo Rh
1 2 3
direct
0.000 0.000 0.000
0.000 0.000 0.329
0.000 0.000 0.671
0.500 0.500 0.169
0.500 0.500 0.500
0.500 0.500 0.831
```

* electronic total energy: -46.96 eV/cell
* formation energy: -0.27 eV per atom

=====

Record 21
## ScHgO3 (PBE)

Data for a relaxed ScHgO3 crystal.

```
ScHgO3
1.0
4.064 0.000 0.000
0.000 4.064 0.000
0.000 0.000 4.064
Sc Hg O
1 1 3
direct
0.000 0.000 0.000
0.500 0.500 0.500
0.000 0.000 0.500
0.000 0.500 0.000
0.500 0.000 0.000
```

* uncorrected formation energy: -1346 meV per atom
* electronic total energy: -28.24 eV/cell

=====

Record 22
## BeP2PdS (PBE)

Data for a relaxed BeP2PdS crystal.

```
BeP2PdS
1.0
4.567 0.000 0.000
0.000 4.567 0.000
0.000 0.000 4.950
Be P Pd S
1 2 1 1
direct
0.000 0.000 0.000
0.000 0.500 0.500
0.500 0.000 0.500
0.500 0.500 0.500
0.500 0.500 0.000
```

* uncorrected formation energy: 1127 meV per atom
* ΔE to the lowest computed polymorph: 546 meV per atom
* electronic total energy: -18.23 eV/cell

=====

Record 23
## TiCl (PBE)

Data for a relaxed TiCl crystal.

```
TiCl
1.0
7.153 0.000 0.000
0.000 4.901 0.000
0.000 0.000 6.035
Ti Cl
6 6
direct
0.000 0.123 0.000
0.203 0.593 0.858
0.297 0.407 0.358
0.500 0.877 0.500
0.703 0.407 0.358
0.797 0.593 0.858
0.000 0.592 0.521
0.239 0.113 0.697
0.261 0.887 0.197
0.500 0.408 0.021
0.739 0.887 0.197
0.761 0.113 0.697
```

* uncorrected formation energy: -676 meV per atom
* electronic total energy: -66.56 eV/cell